VASP calculation (PBE) on Ac2PrNi after structural relaxation. Values from VASP.

Crystal system: orthorhombic
E: -4.806 eV/atom
Distance to the lowest polymorph of the same formula: 0.017 eV per atom
ΔE_f: -0.112 eV/atom

Quantum ESPRESSO input file:
```
&SYSTEM
  ibrav = 0, nat = 8, ntyp = 3
/
ATOMIC_SPECIES
Ac 227.00 Ac.upf
Pr 140.91 Pr.upf
Ni 58.69 Ni.upf
CELL_PARAMETERS angstrom
1.973 -6.471 0.000
1.973 6.471 0.000
0.000 0.000 10.522
ATOMIC_POSITIONS crystal
Ac 0.138 0.862 0.571
Ac 0.138 0.862 0.929
Ac 0.862 0.138 0.071
Ac 0.862 0.138 0.429
Pr 0.400 0.600 0.750
Pr 0.600 0.400 0.250
Ni 0.264 0.736 0.250
Ni 0.736 0.264 0.750
```